a:
# YMoRu2, optimized geometry, DFT PBE
data_YMoRu2
_chemical_formula_sum 'Y1 Mo1 Ru2'
_cell_length_a 4.658
_cell_length_b 4.658
_cell_length_c 3.146
_cell_angle_alpha 90.00
_cell_angle_beta 90.00
_cell_angle_gamma 90.00
_symmetry_space_group_name_H-M 'P 4/m m m'
_symmetry_Int_Tables_number 123
_symmetry_space_group_name_Hall '-P 4 2'
loop_
_atom_site_label
_atom_site_type_symbol
_atom_site_fract_x
_atom_site_fract_y
_atom_site_fract_z
Y1 Y 0.000 0.000 0.000
Mo1 Mo 0.500 0.500 0.000
Ru1 Ru 0.000 0.500 0.500
# - magnetization (μB per atom) = 0.0000



b:
# YMoRu2, optimized geometry, DFT PBE
data_YMoRu2
_chemical_formula_sum 'Y1 Mo1 Ru2'
_cell_length_a 3.132
_cell_length_b 3.132
_cell_length_c 7.146
_cell_angle_alpha 90.00
_cell_angle_beta 90.00
_cell_angle_gamma 90.00
_symmetry_space_group_name_H-M 'P 4/m m m'
_symmetry_Int_Tables_number 123
_symmetry_space_group_name_Hall '-P 4 2'
loop_
_atom_site_label
_atom_site_type_symbol
_atom_site_fract_x
_atom_site_fract_y
_atom_site_fract_z
Y1 Y 0.000 0.000 0.000
Mo1 Mo 0.000 0.000 0.500
Ru1 Ru 0.500 0.500 0.293
# - magnetization (μB per atom) = 0.0017



c:
# YMoRu2, optimized geometry, DFT PBE
data_YMoRu2
_chemical_formula_sum 'Y2 Mo2 Ru4'
_cell_length_a 3.173
_cell_length_b 4.595
_cell_length_c 9.492
_cell_angle_alpha 90.00
_cell_angle_beta 90.00
_cell_angle_gamma 90.00
_symmetry_space_group_name_H-M 'I m m 2'
_symmetry_Int_Tables_number 44
_symmetry_space_group_name_Hall 'I 2 -2'
loop_
_atom_site_label
_atom_site_type_symbol
_atom_site_fract_x
_atom_site_fract_y
_atom_site_fract_z
Y1 Y 0.000 0.000 0.000
Mo1 Mo 0.000 0.500 0.765
Ru1 Ru 0.000 0.000 0.485
Ru2 Ru 0.000 0.500 0.241
# - magnetization (μB per atom) = 0.0001



d:
# YMoRu2, optimized geometry, DFT PBE
data_YMoRu2
_chemical_formula_sum 'Y3 Mo3 Ru6'
_cell_length_a 2.8773
_cell_length_b 2.8773
_cell_length_c 28.7248
_cell_angle_alpha 90.00
_cell_angle_beta 90.00
_cell_angle_gamma 120.00
_symmetry_space_group_name_H-M 'R 3 m'
_symmetry_Int_Tables_number 160
_symmetry_space_group_name_Hall 'R 3 -2"'
loop_
_atom_site_label
_atom_site_type_symbol
_atom_site_fract_x
_atom_site_fract_y
_atom_site_fract_z
Y1 Y 0.0000 0.0000 0.0000
Mo1 Mo 0.0000 0.0000 0.7626
Ru1 Ru 0.0000 0.0000 0.2440
Ru2 Ru 0.0000 0.0000 0.5037
# - magnetization (μB per atom) = 0.0000



Of them, b has the highest stability.



a:
# YMo2Ru, optimized geometry, DFT PBE
data_YMo2Ru
_chemical_formula_sum 'Y1 Mo2 Ru1'
_cell_length_a 4.649
_cell_length_b 4.649
_cell_length_c 3.214
_cell_angle_alpha 90.00
_cell_angle_beta 90.00
_cell_angle_gamma 90.00
_symmetry_space_group_name_H-M 'P 4/m m m'
_symmetry_Int_Tables_number 123
_symmetry_space_group_name_Hall '-P 4 2'
loop_
_atom_site_label
_atom_site_type_symbol
_atom_site_fract_x
_atom_site_fract_y
_atom_site_fract_z
Y1 Y 0.000 0.000 0.000
Mo1 Mo 0.000 0.500 0.500
Ru1 Ru 0.500 0.500 0.000
# - magnetization (μB per atom) = 0.0000



b:
# YMo2Ru, optimized geometry, DFT PBE
data_YMo2Ru
_chemical_formula_sum 'Y1 Mo2 Ru1'
_cell_length_a 2.915
_cell_length_b 2.915
_cell_length_c 8.469
_cell_angle_alpha 90.00
_cell_angle_beta 90.00
_cell_angle_gamma 90.00
_symmetry_space_group_name_H-M 'P 4/m m m'
_symmetry_Int_Tables_number 123
_symmetry_space_group_name_Hall '-P 4 2'
loop_
_atom_site_label
_atom_site_type_symbol
_atom_site_fract_x
_atom_site_fract_y
_atom_site_fract_z
Y1 Y 0.000 0.000 0.000
Mo1 Mo 0.500 0.500 0.291
Ru1 Ru 0.000 0.000 0.500
# - magnetization (μB per atom) = 0.0000



c:
# YMo2Ru, optimized geometry, DFT PBE
data_YMo2Ru
_chemical_formula_sum 'Y2 Mo4 Ru2'
_cell_length_a 5.409
_cell_length_b 9.421
_cell_length_c 2.889
_cell_angle_alpha 90.00
_cell_angle_beta 108.49
_cell_angle_gamma 90.00
_symmetry_space_group_name_H-M 'C 1 2/m 1'
_symmetry_Int_Tables_number 12
_symmetry_space_group_name_Hall '-C 2y'
loop_
_atom_site_label
_atom_site_type_symbol
_atom_site_fract_x
_atom_site_fract_y
_atom_site_fract_z
Y1 Y 0.000 0.000 0.000
Mo1 Mo 0.250 0.250 0.500
Ru1 Ru 0.000 0.500 0.000
# - magnetization (μB per atom) = 0.0000



d:
# YMo2Ru, optimized geometry, DFT PBE
data_YMo2Ru
_chemical_formula_sum 'Y1 Mo2 Ru1'
_cell_length_a 3.002
_cell_length_b 4.182
_cell_length_c 5.974
_cell_angle_alpha 90.00
_cell_angle_beta 102.74
_cell_angle_gamma 90.00
_symmetry_space_group_name_H-M 'P 1 m 1'
_symmetry_Int_Tables_number 6
_symmetry_space_group_name_Hall 'P -2y'
loop_
_atom_site_label
_atom_site_type_symbol
_atom_site_fract_x
_atom_site_fract_y
_atom_site_fract_z
Y1 Y 0.000 0.000 0.000
Mo1 Mo 0.510 0.000 0.507
Mo2 Mo 0.703 0.500 0.307
Ru1 Ru 0.282 0.500 0.718
# - magnetization (μB per atom) = 0.0000



Of them, d has the highest stability.



a:
# YMo2Ru, optimized geometry, DFT PBE
data_YMo2Ru
_chemical_formula_sum 'Y2 Mo4 Ru2'
_cell_length_a 5.260
_cell_length_b 9.446
_cell_length_c 2.863
_cell_angle_alpha 90.00
_cell_angle_beta 90.00
_cell_angle_gamma 90.00
_symmetry_space_group_name_H-M 'C m m m'
_symmetry_Int_Tables_number 65
_symmetry_space_group_name_Hall '-C 2 2'
loop_
_atom_site_label
_atom_site_type_symbol
_atom_site_fract_x
_atom_site_fract_y
_atom_site_fract_z
Y1 Y 0.000 0.000 0.000
Mo1 Mo 0.250 0.250 0.500
Ru1 Ru 0.000 0.500 0.000
# - magnetization (μB per atom) = 0.0000



b:
# YMo2Ru, optimized geometry, DFT PBE
data_YMo2Ru
_chemical_formula_sum 'Y3 Mo6 Ru3'
_cell_length_a 2.9390
_cell_length_b 2.9390
_cell_length_c 28.6971
_cell_angle_alpha 90.00
_cell_angle_beta 90.00
_cell_angle_gamma 120.00
_symmetry_space_group_name_H-M 'R -3 m'
_symmetry_Int_Tables_number 166
_symmetry_space_group_name_Hall '-R 3 2"'
loop_
_atom_site_label
_atom_site_type_symbol
_atom_site_fract_x
_atom_site_fract_y
_atom_site_fract_z
Y1 Y 0.0000 0.0000 0.0000
Mo1 Mo 0.0000 0.0000 0.2397
Ru1 Ru 0.0000 0.0000 0.5000
# - magnetization (μB per atom) = 0.0000



Of them, a has the highest stability.



a:
# YMo2Ru, optimized geometry, DFT PBE
data_YMo2Ru
_chemical_formula_sum 'Y1 Mo2 Ru1'
_cell_length_a 3.232
_cell_length_b 3.232
_cell_length_c 6.872
_cell_angle_alpha 90.00
_cell_angle_beta 90.00
_cell_angle_gamma 90.00
_symmetry_space_group_name_H-M 'P 4 m m'
_symmetry_Int_Tables_number 99
_symmetry_space_group_name_Hall 'P 4 -2'
loop_
_atom_site_label
_atom_site_type_symbol
_atom_site_fract_x
_atom_site_fract_y
_atom_site_fract_z
Y1 Y 0.000 0.000 0.000
Mo1 Mo 0.000 0.000 0.502
Mo2 Mo 0.500 0.500 0.296
Ru1 Ru 0.500 0.500 0.726
# - magnetization (μB per atom) = 0.0000



b:
# YMo2Ru, optimized geometry, DFT PBE
data_YMo2Ru
_chemical_formula_sum 'Y2 Mo4 Ru2'
_cell_length_a 3.229
_cell_length_b 4.536
_cell_length_c 9.657
_cell_angle_alpha 90.00
_cell_angle_beta 90.00
_cell_angle_gamma 90.00
_symmetry_space_group_name_H-M 'I m m m'
_symmetry_Int_Tables_number 71
_symmetry_space_group_name_Hall '-I 2 2'
loop_
_atom_site_label
_atom_site_type_symbol
_atom_site_fract_x
_atom_site_fract_y
_atom_site_fract_z
Y1 Y 0.000 0.000 0.000
Mo1 Mo 0.000 0.500 0.238
Ru1 Ru 0.000 0.000 0.500
# - magnetization (μB per atom) = 0.0000



Of them, a has the highest stability.



a:
# YMo2Ru, optimized geometry, DFT PBE
data_YMo2Ru
_chemical_formula_sum 'Y4 Mo8 Ru4'
_cell_length_a 7.605
_cell_length_b 7.605
_cell_length_c 5.434
_cell_angle_alpha 90.00
_cell_angle_beta 90.00
_cell_angle_gamma 90.00
_symmetry_space_group_name_H-M 'I -4 2 d'
_symmetry_Int_Tables_number 122
_symmetry_space_group_name_Hall 'I -4 2bw'
loop_
_atom_site_label
_atom_site_type_symbol
_atom_site_fract_x
_atom_site_fract_y
_atom_site_fract_z
Y1 Y 0.000 0.000 0.000
Mo1 Mo 0.200 0.250 0.625
Ru1 Ru 0.000 0.000 0.500
# - magnetization (μB per atom) = 0.0000



b:
# YMo2Ru, optimized geometry, DFT PBE
data_YMo2Ru
_chemical_formula_sum 'Y2 Mo4 Ru2'
_cell_length_a 3.229
_cell_length_b 4.900
_cell_length_c 9.034
_cell_angle_alpha 90.00
_cell_angle_beta 90.00
_cell_angle_gamma 90.00
_symmetry_space_group_name_H-M 'I m m 2'
_symmetry_Int_Tables_number 44
_symmetry_space_group_name_Hall 'I 2 -2'
loop_
_atom_site_label
_atom_site_type_symbol
_atom_site_fract_x
_atom_site_fract_y
_atom_site_fract_z
Y1 Y 0.000 0.000 0.000
Mo1 Mo 0.000 0.000 0.496
Mo2 Mo 0.000 0.500 0.775
Ru1 Ru 0.000 0.500 0.234
# - magnetization (μB per atom) = 0.0000



Of them, b has the highest stability.